Computed, not measured: crystalline LiBMo2 at its relaxed geometry at the PBE level of DFT.

abc: 3.6268 3.6268 16.8372
angles: 90.00 90.00 90.00
Space group I-42d (No. 122)
One atom of each set of equivalent atoms:
Li: 0.0000 0.0000 0.0000
B: 0.0000 0.0000 0.5000
Mo: 0.2315 0.2500 0.6250

Values from the calculation:
- energy relative to the elements (kcal/mol of atoms) = 20.84